SiNiRh: PBEsol geometry, meta-GGA SCAN.

Structure (extended XYZ):
```
3
Lattice="-3.847 0.130 -0.341 -2.158 -2.909 1.346 -2.201 0.516 3.134" Properties=species:S:1:pos:R:3 pbc="T T T"
Ni -2.052 -0.566 1.035
Rh 0.000 0.000 0.000
Si -4.103 -1.132 2.070
```

Results
**Fermi-level density of states**: 2.86 states/eV/f.u.
**Space group**: F-43m, No. 216
**Uncorrected formation energy**: -154 meV/atom


AlCrIr2: PBEsol geometry, meta-GGA SCAN.

Structure (extended XYZ):
```
4
Lattice="2.838 0.000 0.000 0.000 4.372 0.119 0.000 -0.767 4.305" Properties=species:S:1:pos:R:3 pbc="T T T"
Cr 1.419 0.000 0.000
Ir 0.000 -0.384 2.153
Ir 0.000 2.186 0.060
Al 1.419 1.802 2.212
```

Results
**E_form**: -734 meV/atom
**Fermi-level density of states**: 1.94 states/eV/f.u.
**Space group**: Cmmm, No. 65


ZnSiMo2: PBEsol geometry, meta-GGA SCAN.

Structure (extended XYZ):
```
4
Lattice="2.796 0.000 0.000 1.398 2.421 0.000 1.398 0.807 8.706" Properties=species:S:1:pos:R:3 pbc="T T T"
Mo 1.398 0.807 8.693
Mo 4.194 2.421 6.429
Si 2.796 1.614 4.397
Zn 1.398 0.807 2.247
```

Results
**Fermi-level density of states**: 3.84 states/eV/f.u.
**Space group**: R3m, No. 160
**Uncorrected formation energy**: 293 meV/atom


TmSiPd2: PBEsol geometry, meta-GGA SCAN.

Structure (extended XYZ):
```
16
Lattice="-1.524 2.684 4.442 0.963 -5.694 3.771 6.788 1.922 1.168" Properties=species:S:1:pos:R:3 pbc="T T T"
Si 0.084 0.525 3.924
Si 6.144 -1.613 5.456
Si 3.086 -3.166 3.891
Si 3.141 2.078 5.489
Tm -0.407 -1.909 6.683
Tm 3.325 -1.542 6.284
Tm 2.903 0.454 3.097
Tm 6.634 0.821 2.698
Pd 1.228 0.497 6.092
Pd 0.846 2.756 4.597
Pd 5.099 0.617 5.285
Pd 5.000 -1.585 3.288
Pd 1.128 -1.705 4.096
Pd 5.382 -3.844 4.784
Pd 4.717 2.876 3.789
Pd 1.510 -3.964 5.591
```

Results
**Fermi-level density of states**: 1.26 states/eV/f.u.
**Space group**: Pnma, No. 62
**Uncorrected formation energy**: -1078 meV/atom


LiY2SiAu: PBEsol geometry, meta-GGA SCAN.

Structure (extended XYZ):
```
5
Lattice="4.177 0.000 0.000 0.000 5.130 0.000 0.000 0.000 5.130" Properties=species:S:1:pos:R:3 pbc="T T T"
Y 0.000 0.000 2.565
Y 0.000 2.565 0.000
Si 2.088 2.565 2.565
Au 2.088 0.000 0.000
Li 0.000 0.000 0.000
```

Results
**Fermi-level density of states**: 3.50 states/eV/f.u.
**Space group**: P4/mmm, No. 123
**Uncorrected formation energy**: 39 meV/atom


Sc2InSb: PBEsol geometry, meta-GGA SCAN.

Structure (extended XYZ):
```
4
Lattice="4.174 0.000 0.000 0.000 4.174 0.000 -2.087 -2.087 5.031" Properties=species:S:1:pos:R:3 pbc="T T T"
Sc 2.087 2.087 0.000
Sc 0.000 2.087 2.515
Sb 2.087 0.000 2.515
In 0.000 0.000 0.000
```

Results
**Fermi-level density of states**: 1.89 states/eV/f.u.
**Space group**: I-4m2, No. 119
**Uncorrected formation energy**: -705 meV/atom